[1]
The following is a DFT calculation (PBE) of a geometry-optimized Cs3Np3NbSe8 structure.

Output
Uncorrected formation energy = -1.14 eV/atom
Total moment = 13.00 μB/cell
Energy = -6.43 eV per atom
Fermi-level density of states = 2.267 states/eV per atom
Space-group type = R-3m (166)

abc: 8.2409 8.2404 9.8292
angles: 114.79 90.00 120.00
Last column: magnetic moment on the atom in μB.
Fractional coordinates of all 15 atoms:
Se: 0.2182 0.9607 0.6788  -0.07
Se: 0.2703 0.5406 0.3110  -0.08
Se: 0.7297 0.4594 0.6890  -0.08
Se: 0.2575 0.0393 0.3212  -0.07
Se: 0.7425 0.9607 0.6788  -0.07
Se: 0.2182 0.4363 0.6788  -0.07
Se: 0.7818 0.5637 0.3212  -0.07
Se: 0.7818 0.0393 0.3212  -0.07
Np: 0.5000 0.0000 0.5000  3.82
Np: 0.5000 0.5000 0.5000  3.82
Np: 0.0000 0.5000 0.5000  3.82
Cs: 0.0000 0.0000 0.0000  0.00
Cs: 0.5000 0.5000 0.0000  0.00
Cs: 0.0000 0.5000 0.0000  0.00
Nb: 0.0000 0.0000 0.5000  1.37

=====

[2]
The following is a DFT calculation (PBE) of a geometry-optimized Cs2Nb2O structure.

Output
Uncorrected formation energy = 0.33 eV/atom
Total moment = 0.33 μB/cell
Energy = -5.03 eV per atom
Fermi-level density of states = 1.100 states/eV per atom
Space-group type = I4/mmm (139)

abc: 3.6760 3.6760 11.9784
angles: 81.17 81.17 90.00
Last column: magnetic moment on the atom in μB.
Fractional coordinates of all 5 atoms:
Cs: 0.4263 0.4263 0.1473  0.00
Cs: 0.5737 0.5737 0.8527  0.00
Nb: 0.2500 0.7500 0.5000  -0.02
Nb: 0.7500 0.2500 0.5000  -0.02
O: 0.0000 0.0000 0.0000  0.36

=====

[3]
The following is a DFT calculation (PBE) of a geometry-optimized Cs3NbO4 structure.

Output
Uncorrected formation energy = -2.14 eV/atom
Total moment = 0.40 μB/cell
Energy = -6.20 eV per atom
Fermi-level density of states = 0.000 states/eV per atom
Space-group type = Pnma (62)

abc: 9.0085 9.9276 9.3686
angles: 90.00 90.00 90.00
Fractional coordinates of all 32 atoms:
O: 0.2658 0.2046 0.7500
O: 0.9747 0.5408 0.7500
O: 0.6821 0.5512 0.5832
O: 0.2342 0.7046 0.2500
O: 0.6821 0.5512 0.9168
O: 0.0253 0.4592 0.2500
O: 0.1821 0.9488 0.9168
O: 0.4747 0.9592 0.7500
O: 0.3179 0.4488 0.4168
O: 0.8179 0.0512 0.4168
O: 0.3179 0.4488 0.0832
O: 0.8179 0.0512 0.0832
O: 0.1821 0.9488 0.5832
O: 0.5253 0.0408 0.2500
O: 0.7342 0.7954 0.2500
O: 0.7658 0.2954 0.7500
Cs: 0.9714 0.7314 0.0145
Cs: 0.0286 0.2686 0.9855
Cs: 0.5286 0.2314 0.5145
Cs: 0.3018 0.4977 0.7500
Cs: 0.8018 0.0023 0.7500
Cs: 0.5286 0.2314 0.9855
Cs: 0.1982 0.9977 0.2500
Cs: 0.6982 0.5023 0.2500
Cs: 0.4714 0.7686 0.0145
Cs: 0.0286 0.2686 0.5145
Cs: 0.9714 0.7314 0.4855
Cs: 0.4714 0.7686 0.4855
Nb: 0.7260 0.9862 0.2500
Nb: 0.7740 0.4862 0.7500
Nb: 0.2260 0.5138 0.2500
Nb: 0.2740 0.0138 0.7500

=====

[4]
The following is a DFT calculation (PBE) of a geometry-optimized CsNb2O5 structure.

Output
Uncorrected formation energy = -2.31 eV/atom
Total moment = 0.00 μB/cell
Energy = -8.03 eV per atom
Fermi-level density of states = 0.218 states/eV per atom
Space-group type = Pbam (55)

abc: 6.4267 9.0244 9.1000
angles: 90.00 90.00 90.00
Fractional coordinates of all 32 atoms:
Nb: 0.2538 0.5000 0.0000
Nb: 0.7462 0.0000 0.5000
Nb: 0.5000 0.8859 0.8635
Nb: 0.5000 0.6141 0.3635
Nb: 0.5000 0.3859 0.6365
Nb: 0.5000 0.1141 0.1365
Nb: 0.7462 0.5000 0.0000
Nb: 0.2538 0.0000 0.5000
O: 0.2973 0.0794 0.2967
O: 0.5000 0.6827 0.9247
O: 0.7027 0.9206 0.7033
O: 0.6867 0.0000 0.0000
O: 0.2973 0.9206 0.7033
O: 0.0000 0.6239 0.9577
O: 0.7027 0.0794 0.2967
O: 0.3133 0.5000 0.5000
O: 0.0000 0.3761 0.0423
O: 0.0000 0.1239 0.5423
O: 0.7027 0.5794 0.2033
O: 0.7027 0.4206 0.7967
O: 0.0000 0.8761 0.4577
O: 0.3133 0.0000 0.0000
O: 0.5000 0.3173 0.0753
O: 0.5000 0.1827 0.5753
O: 0.5000 0.8173 0.4247
O: 0.6867 0.5000 0.5000
O: 0.2973 0.5794 0.2033
O: 0.2973 0.4206 0.7967
Cs: 0.0000 0.3508 0.3413
Cs: 0.0000 0.1492 0.8413
Cs: 0.0000 0.6492 0.6587
Cs: 0.0000 0.8508 0.1587

=====

[5]
The following is a DFT calculation (PBE) of a geometry-optimized CsNbO2 structure.

Output
Uncorrected formation energy = -0.13 eV/atom
Total moment = 2.00 μB/cell
Energy = -5.34 eV per atom
Fermi-level density of states = 0.237 states/eV per atom
Space-group type = Fm-3m (225)

abc: 4.4480 4.4480 4.4480
angles: 60.00 60.00 60.00
Last column: magnetic moment on the atom in μB.
Fractional coordinates of all 4 atoms:
Cs: 0.5000 0.5000 0.5000  0.10
O: 0.2500 0.2500 0.2500  -0.12
O: 0.7500 0.7500 0.7500  -0.12
Nb: 0.0000 0.0000 0.0000  1.87

=====

[6]
The following is a DFT calculation (PBE) of a geometry-optimized CsNb3O7 structure.

Output
Uncorrected formation energy = -2.03 eV/atom
Total moment = 2.06 μB/cell
Energy = -8.01 eV per atom
Fermi-level density of states = 0.253 states/eV per atom
Space-group type = P3m1 (156)

abc: 6.9837 6.7234 6.7234
angles: 120.00 90.00 90.00
Last column: magnetic moment on the atom in μB.
Fractional coordinates of all 11 atoms:
O: 0.0028 0.3333 0.6667  -0.01
O: 0.6819 0.6077 0.8039  0.03
O: 0.9117 0.7989 0.2011  -0.03
O: 0.9117 0.7989 0.5978  -0.03
O: 0.6819 0.1961 0.3923  0.03
O: 0.9117 0.4022 0.2011  -0.03
O: 0.6819 0.1961 0.8039  0.03
Nb: 0.8385 0.4826 0.5174  0.53
Nb: 0.8385 0.4826 0.9651  0.53
Nb: 0.8385 0.0349 0.5174  0.53
Cs: 0.3159 0.6667 0.3333  0.02

=====

[7]
The following is a DFT calculation (PBE) of a geometry-optimized CsNb2O structure.

Output
Uncorrected formation energy = 0.17 eV/atom
Total moment = 0.00 μB/cell
Energy = -6.31 eV per atom
Fermi-level density of states = 0.700 states/eV per atom
Space-group type = I4_1/amd (141)

abc: 6.6766 6.6766 6.6728
angles: 59.98 59.98 90.00
Fractional coordinates of all 8 atoms:
Nb: 0.8750 0.6252 0.7500
Nb: 0.3748 0.6250 0.2500
Nb: 0.3750 0.6248 0.7500
Nb: 0.3752 0.1250 0.2500
O: 0.5000 0.5000 0.0000
O: 0.2500 0.7500 0.5000
Cs: 0.7500 0.2500 0.5000
Cs: 0.0000 0.0000 0.0000

=====

[8]
The following is a DFT calculation (PBE) of a geometry-optimized Cs2Nb2O structure.

Output
Uncorrected formation energy = 1.11 eV/atom
Total moment = 2.34 μB/cell
Energy = -4.25 eV per atom
Fermi-level density of states = 1.451 states/eV per atom
Space-group type = P4/mbm (127)

abc: 7.1466 7.1466 7.6666
angles: 90.00 90.00 90.00
Last column: magnetic moment on the atom in μB.
Fractional coordinates of all 10 atoms:
Cs: 0.1745 0.3255 0.0000  0.01
Cs: 0.8255 0.6745 0.0000  0.01
Cs: 0.3255 0.8255 0.0000  0.00
Cs: 0.6745 0.1745 0.0000  0.00
Nb: 0.1052 0.6052 0.5000  0.42
Nb: 0.6052 0.8948 0.5000  0.42
Nb: 0.3948 0.1052 0.5000  0.42
Nb: 0.8948 0.3948 0.5000  0.42
O: 0.0000 0.0000 0.0000  0.00
O: 0.5000 0.5000 0.0000  0.00

=====

[9]
The following is a DFT calculation (PBE) of a geometry-optimized CsNb2O6 structure.

Output
Uncorrected formation energy = -2.27 eV/atom
Total moment = 2.16 μB/cell
Energy = -7.91 eV per atom
Fermi-level density of states = 0.701 states/eV per atom
Space-group type = Fd-3m (227)

abc: 7.5731 7.5731 7.5731
angles: 60.00 60.00 60.00
Last column: magnetic moment on the atom in μB.
Fractional coordinates of all 18 atoms:
Cs: 0.7500 0.7500 0.7500  0.00
Cs: 0.5000 0.5000 0.5000  0.00
O: 0.4365 0.0635 0.4365  0.17
O: 0.1865 0.8135 0.1865  0.17
O: 0.0635 0.4365 0.0635  0.17
O: 0.4365 0.0635 0.0635  0.17
O: 0.4365 0.4365 0.0635  0.17
O: 0.1865 0.8135 0.8135  0.17
O: 0.0635 0.0635 0.4365  0.17
O: 0.8135 0.8135 0.1865  0.17
O: 0.0635 0.4365 0.4365  0.17
O: 0.1865 0.1865 0.8135  0.17
O: 0.8135 0.1865 0.1865  0.17
O: 0.8135 0.1865 0.8135  0.17
Nb: 0.6250 0.1250 0.1250  -0.07
Nb: 0.1250 0.6250 0.1250  -0.07
Nb: 0.1250 0.1250 0.6250  -0.07
Nb: 0.1250 0.1250 0.1250  -0.07

=====

[10]
The following is a DFT calculation (PBE) of a geometry-optimized CsNbO2 structure.

Output
Uncorrected formation energy = -1.15 eV/atom
Total moment = 0.48 μB/cell
Energy = -6.36 eV per atom
Fermi-level density of states = 0.408 states/eV per atom
Space-group type = P4/mmm (123)

abc: 2.9398 2.9398 7.0636
angles: 90.00 90.00 90.00
Last column: magnetic moment on the atom in μB.
Fractional coordinates of all 4 atoms:
O: 0.0000 0.0000 0.1691  0.00
O: 0.0000 0.0000 0.8309  0.00
Cs: 0.5000 0.5000 0.5000  0.01
Nb: 0.5000 0.5000 0.0000  0.39

=====

[11]
The following is a DFT calculation (PBE) of a geometry-optimized CsNbO2 structure.

Output
Uncorrected formation energy = -1.15 eV/atom
Total moment = 0.00 μB/cell
Energy = -6.36 eV per atom
Fermi-level density of states = 0.031 states/eV per atom
Space-group type = R-3m (166)

abc: 8.1293 8.1293 8.1293
angles: 25.17 25.17 25.17
Fractional coordinates of all 4 atoms:
O: 0.0789 0.0789 0.0789
O: 0.9211 0.9211 0.9211
Nb: 0.0000 0.0000 0.0000
Cs: 0.5000 0.5000 0.5000

=====

[12]
The following is a DFT calculation (PBE) of a geometry-optimized CsNbO2 structure.

Output
Uncorrected formation energy = -1.65 eV/atom
Total moment = 0.00 μB/cell
Energy = -6.86 eV per atom
Fermi-level density of states = 0.821 states/eV per atom
Space-group type = I-42d (122)

abc: 5.6352 5.6352 6.8788
angles: 65.82 65.82 90.00
Fractional coordinates of all 8 atoms:
O: 0.3604 0.6250 0.2500
O: 0.3896 0.1250 0.2500
O: 0.3750 0.6104 0.7500
O: 0.8750 0.6396 0.7500
Cs: 0.0000 0.0000 0.0000
Cs: 0.7500 0.2500 0.5000
Nb: 0.2500 0.7500 0.5000
Nb: 0.5000 0.5000 0.0000